Below is a relaxed Tl2MoO4 crystal, with properties calculated at the PBE+U level.

Unit cell a=6.3605 b=6.3605 c=8.2473 alpha=90.84 beta=90.84 gamma=63.20
Sites, in units of the cell vectors:
1 Tl 0.0000 0.0000 0.0000
2 Tl 0.2947 0.3853 0.6882
3 Tl 0.6147 0.7053 0.3118
4 Tl 0.9731 0.0269 0.5000
5 Mo 0.3283 0.3531 0.1963
6 Mo 0.6469 0.6717 0.8037
7 O 0.2032 0.6336 0.3021
8 O 0.2202 0.3973 0.9912
9 O 0.2510 0.1467 0.2961
10 O 0.3664 0.7968 0.6979
11 O 0.6027 0.7798 0.0088
12 O 0.6432 0.2457 0.2055
13 O 0.7543 0.3568 0.7945
14 O 0.8533 0.7490 0.7039

Raw total energy ... -5.862 eV per atom
Crystal system ... monoclinic